DyNiC2O8: relaxed, PBE with a Hubbard U.

ρ, g cm⁻³: 4.60
SG: P-3m1
Electronic total energy, eV for the cell shown: -79.32

a = 5.0828 Å, b = 5.0828 Å, c = 6.0199 Å
α = 90.00°, β = 90.00°, γ = 120.00°
Last column: nearest neighbours and their distance in Å.
Atoms (fractional coordinates):
Dy (0.0000, 0.0000, 0.0000)  6 O 2.25
Ni (0.0000, 0.0000, 0.5000)  6 O 2.16
C (0.3333, 0.6667, 0.6675)  4 O 1.38-1.39
C (0.6667, 0.3333, 0.3325)  4 O 1.38-1.39
O (0.1832, 0.3664, 0.7394)  1 C 1.39
O (0.1832, 0.8168, 0.7394)  1 C 1.39
O (0.3333, 0.6667, 0.4385)  1 C 1.38
O (0.3664, 0.1832, 0.2606)  1 C 1.39
O (0.6336, 0.8168, 0.7394)  1 C 1.39
O (0.6667, 0.3333, 0.5615)  1 C 1.38
O (0.8168, 0.1832, 0.2606)  1 C 1.39
O (0.8168, 0.6336, 0.2606)  1 C 1.39